No. 1
This record from Alexandria via LeMat-Bulk describes an optimized crystal structure of DyInBi. The functional is PBE-GGA.

Results
crystal system	trigonal
E_tot	-4.01	eV per atom
space-group type	No. 156

abc: 5.4243 5.4243 3.4051
angles: 90.00 90.00 120.00
Atoms (fractional coordinates):
Dy  0.0000  0.0000  0.0000
In  0.3333  0.6667  0.5052
Bi  0.6667  0.3333  0.4955

No. 2
This record from Alexandria via LeMat-Bulk describes an optimized crystal structure of TiRh3I. The functional is PBE-GGA.

Results
crystal system	cubic
space-group type	No. 221
energy above the lowest structure with this stoichiometry	0.00	kcal/mol of atoms
ΔE_f (raw)	15.57	kcal/mol of atoms

abc: 4.6438 4.6438 4.6438
angles: 90.00 90.00 90.00
Atoms (fractional coordinates):
Ti  0.0000  0.0000  0.0000
Rh  0.0000  0.0000  0.5000
Rh  0.0000  0.5000  0.0000
Rh  0.5000  0.0000  0.0000
I  0.5000  0.5000  0.5000